No. 1
The following is a DFT calculation (PBE) of a geometry-optimized Na2Ac2SbO6 structure.

abc: 6.3837 6.3837 5.9510
angles: 96.13 96.13 119.98
Closest atoms and distances in Å follow each position.
Fractional coordinates of all 11 atoms:
1 O 0.2333 0.2333 0.2914  1 Sb 2.13
2 O 0.7667 0.7667 0.7086  1 Sb 2.13
3 O 0.6664 0.9710 0.3089  1 Sb 2.22, 1 Na 2.38
4 O 0.9710 0.6664 0.3089  1 Sb 2.22, 1 Na 2.38
5 O 0.0290 0.3336 0.6911  1 Sb 2.22, 1 Na 2.38
6 O 0.3336 0.0290 0.6911  1 Sb 2.22, 1 Na 2.38
7 Na 0.8697 0.1303 0.0000  4 O 2.38-2.49
8 Na 0.1303 0.8697 0.0000  4 O 2.38-2.49
9 Ac 0.6631 0.3369 0.5000  6 O 2.50-2.61
10 Ac 0.3369 0.6631 0.5000  6 O 2.50-2.61
11 Sb 0.0000 0.0000 0.5000  6 O 2.13-2.22

- energy relative to the elements, uncorrected (eV/atom) = -2.168
- crystal system = monoclinic
- final energy (eV per atom) = -6.234
- volume (Å³/f.u.) = 205.2

=====

No. 2
The following is a DFT calculation (PBE) of a geometry-optimized NaAc2SbO5 structure.

abc: 6.4086 7.2179 7.2179
angles: 90.00 90.00 90.00
Closest atoms and distances in Å follow each position.
Fractional coordinates of all 18 atoms:
1 Ac 0.5000 0.6795 0.1795  4 O 2.44-2.65
2 Ac 0.5000 0.8205 0.6795  4 O 2.44-2.65
3 Ac 0.5000 0.3205 0.8205  4 O 2.44-2.65
4 Ac 0.5000 0.1795 0.3205  4 O 2.44-2.65
5 O 0.7480 0.8611 0.3611  1 Sb 2.15
6 O 0.5000 0.0000 0.0000  4 Ac 2.65
7 O 0.7480 0.6389 0.8611  1 Sb 2.15
8 O 0.7480 0.3611 0.1389  1 Sb 2.15
9 O 0.2520 0.8611 0.3611  1 Sb 2.15
10 O 0.2520 0.1389 0.6389  1 Sb 2.15
11 O 0.5000 0.5000 0.5000  4 Ac 2.65
12 O 0.7480 0.1389 0.6389  1 Sb 2.15
13 O 0.2520 0.3611 0.1389  1 Sb 2.15
14 O 0.2520 0.6389 0.8611  1 Sb 2.15
15 Sb 0.0000 0.0000 0.5000  4 O 2.15
16 Sb 0.0000 0.5000 0.0000  4 O 2.15
17 Na 0.0000 0.5000 0.5000  10 O 3.20-3.23
18 Na 0.0000 0.0000 0.0000  10 O 3.20-3.23

- energy relative to the elements, uncorrected (eV/atom) = -2.212
- crystal system = tetragonal
- final energy (eV per atom) = -6.484
- volume (Å³/f.u.) = 166.9

=====

No. 3
The following is a DFT calculation (PBE) of a geometry-optimized Na2AcSbO6 structure.

abc: 5.9164 6.0545 8.4803
angles: 90.00 89.37 90.00
Closest atoms and distances in Å follow each position.
Fractional coordinates of all 20 atoms:
1 O 0.7072 0.3464 0.9592  1 Sb 2.00
2 O 0.1453 0.2154 0.0651  1 Sb 2.01
3 O 0.8996 0.5661 0.2215  1 Sb 2.00
4 O 0.2072 0.1536 0.4592  1 Sb 2.00
5 O 0.6453 0.2846 0.5651  1 Sb 2.01
6 O 0.3547 0.7154 0.4349  1 Sb 2.01
7 O 0.3996 0.9339 0.7215  1 Sb 2.00
8 O 0.8547 0.7846 0.9349  1 Sb 2.01
9 O 0.1004 0.4339 0.7785  1 Sb 2.00
10 O 0.7928 0.8464 0.5408  1 Sb 2.00
11 O 0.6004 0.0661 0.2785  1 Sb 2.00
12 O 0.2928 0.6536 0.0408  1 Sb 2.00
13 Na 0.9924 0.9654 0.2608  4 O 2.40-2.50
14 Na 0.4924 0.5346 0.7608  4 O 2.40-2.50
15 Na 0.5076 0.4654 0.2392  4 O 2.40-2.50
16 Na 0.0076 0.0346 0.7392  4 O 2.40-2.50
17 Sb 0.5000 0.0000 0.5000  6 O 2.00-2.01
18 Sb 0.0000 0.5000 0.0000  6 O 2.00-2.01
19 Ac 0.5000 0.0000 0.0000  6 O 2.45-2.53
20 Ac 0.0000 0.5000 0.5000  6 O 2.45-2.53

- energy relative to the elements, uncorrected (eV/atom) = -1.726
- crystal system = monoclinic
- final energy (eV per atom) = -5.788
- volume (Å³/f.u.) = 151.9

=====

No. 4
The following is a DFT calculation (PBE) of a geometry-optimized Na3Ac3ScO8 structure.

abc: 7.3492 7.3493 7.0251
angles: 121.54 90.00 120.00
Closest atoms and distances in Å follow each position.
Fractional coordinates of all 15 atoms:
1 O 0.7857 0.5713 0.2986  1 Sc 2.19
2 O 0.7857 0.0129 0.2986  1 Sc 2.19
3 O 0.7727 0.9871 0.7014  1 Sc 2.19
4 O 0.2143 0.9871 0.7014  1 Sc 2.19
5 O 0.2273 0.0129 0.2986  1 Sc 2.19
6 O 0.2578 0.5157 0.2735  3 Ac 2.47, 3 Na 2.62
7 O 0.2143 0.4287 0.7014  1 Sc 2.19
8 O 0.7422 0.4843 0.7265  3 Ac 2.47, 3 Na 2.62
9 Na 0.0000 0.0000 0.0000  6 O 2.61-2.62
10 Na 0.0000 0.5000 0.0000  6 O 2.61-2.62
11 Na 0.5000 0.5000 0.0000  6 O 2.61-2.62
12 Sc 0.0000 0.0000 0.5000  6 O 2.19
13 Ac 0.5000 0.0000 0.5000  6 O 2.47-2.52
14 Ac 0.5000 0.5000 0.5000  6 O 2.47-2.52
15 Ac 0.0000 0.5000 0.5000  6 O 2.47-2.52

- energy relative to the elements, uncorrected (eV/atom) = -2.543
- crystal system = trigonal
- final energy (eV per atom) = -6.695
- volume (Å³/f.u.) = 261.9

=====

No. 5
The following is a DFT calculation (PBE) of a geometry-optimized Na3Ac2ScO6 structure.

abc: 6.3043 6.3043 5.9464
angles: 98.88 98.88 121.15
Closest atoms and distances in Å follow each position.
Fractional coordinates of all 12 atoms:
1 O 0.7612 0.7612 0.2083  1 Sc 2.21, 2 Na 2.41
2 O 0.2388 0.2388 0.7917  1 Sc 2.21, 2 Na 2.41
3 O 0.3568 0.0652 0.2126  1 Sc 2.20, 1 Na 2.46
4 O 0.6432 0.9348 0.7874  1 Sc 2.20, 1 Na 2.46
5 O 0.9348 0.6432 0.7874  1 Sc 2.20, 1 Na 2.46
6 O 0.0652 0.3568 0.2126  1 Sc 2.20, 1 Na 2.46
7 Ac 0.6683 0.3317 0.0000  6 O 2.51-2.54
8 Ac 0.3317 0.6683 0.0000  6 O 2.51-2.54
9 Sc 0.0000 0.0000 0.0000  6 O 2.20-2.21
10 Na 0.5000 0.5000 0.5000  6 O 2.60-2.72
11 Na 0.8640 0.1360 0.5000  4 O 2.41-2.46
12 Na 0.1360 0.8640 0.5000  4 O 2.41-2.46

- energy relative to the elements, uncorrected (eV/atom) = -2.586
- crystal system = monoclinic
- final energy (eV per atom) = -6.608
- volume (Å³/f.u.) = 192.0

=====

No. 6
The following is a DFT calculation (PBE) of a geometry-optimized NaAc4Sc3O12 structure.

abc: 7.1573 7.1573 7.1573
angles: 109.47 109.47 109.47
Closest atoms and distances in Å follow each position.
Fractional coordinates of all 20 atoms:
1 O 0.0000 0.2572 0.2572  1 Sc 2.01, 1 Na 2.13
2 O 0.2500 0.5000 0.7500  2 Sc 2.07
3 O 0.0000 0.7428 0.7428  1 Sc 2.01, 1 Na 2.13
4 O 0.2572 0.0000 0.2572  1 Sc 2.01, 1 Na 2.13
5 O 0.7428 0.7428 0.0000  1 Sc 2.01, 1 Na 2.13
6 O 0.2500 0.7500 0.5000  2 Sc 2.07
7 O 0.7500 0.5000 0.2500  2 Sc 2.07
8 O 0.7428 0.0000 0.7428  1 Sc 2.01, 1 Na 2.13
9 O 0.5000 0.7500 0.2500  2 Sc 2.07
10 O 0.7500 0.2500 0.5000  2 Sc 2.07
11 O 0.2572 0.2572 0.0000  1 Sc 2.01, 1 Na 2.13
12 O 0.5000 0.2500 0.7500  2 Sc 2.07
13 Sc 0.5000 0.0000 0.5000  6 O 2.01-2.07
14 Sc 0.0000 0.5000 0.5000  6 O 2.01-2.07
15 Sc 0.5000 0.5000 0.0000  6 O 2.01-2.07
16 Ac 0.5000 0.5000 0.5000  12 O 2.92
17 Ac 0.0000 0.5000 0.0000  12 O 2.92
18 Ac 0.0000 0.0000 0.5000  12 O 2.92
19 Ac 0.5000 0.0000 0.0000  12 O 2.92
20 Na 0.0000 0.0000 0.0000  6 O 2.13

- energy relative to the elements, uncorrected (eV/atom) = -2.939
- crystal system = cubic
- final energy (eV per atom) = -7.751
- volume (Å³/f.u.) = 282.2

=====

No. 7
The following is a DFT calculation (PBE) of a geometry-optimized Na2AcScO4 structure.

abc: 3.4883 6.1402 5.9899
angles: 110.97 90.00 90.00
Closest atoms and distances in Å follow each position.
Fractional coordinates of all 8 atoms:
1 O 0.0000 0.2171 0.7895  1 Sc 2.14
2 O 0.5000 0.7828 0.7902  2 Sc 2.28, 1 Ac 2.48, 1 Na 2.54
3 O 0.0000 0.7829 0.2105  1 Sc 2.14
4 O 0.5000 0.2172 0.2098  2 Sc 2.28, 1 Ac 2.48, 1 Na 2.54
5 Ac 0.5000 0.5000 0.0000  6 O 2.47-2.48
6 Sc 0.0000 0.0000 0.0000  6 O 2.14-2.28
7 Na 0.5000 0.0000 0.5000  6 O 2.48-2.54
8 Na 0.0000 0.5000 0.5000  6 O 2.63-2.86

- energy relative to the elements, uncorrected (eV/atom) = -2.571
- crystal system = monoclinic
- final energy (eV per atom) = -6.685
- volume (Å³/f.u.) = 119.8

=====

No. 8
The following is a DFT calculation (PBE) of a geometry-optimized Na2AcSe2O6 structure.

abc: 5.7011 6.4173 11.4291
angles: 137.73 90.00 116.37
Closest atoms and distances in Å follow each position.
Fractional coordinates of all 11 atoms:
1 Na 0.6232 0.2464 0.9355  4 O 2.33-2.43
2 Na 0.3768 0.7536 0.0645  4 O 2.33-2.43
3 Ac 0.5000 0.0000 0.5000  6 O 2.49-2.60
4 Se 0.9179 0.8358 0.6111  3 O 1.75-1.79
5 Se 0.0821 0.1642 0.3889  3 O 1.75-1.79
6 O 0.1442 0.8169 0.2456  1 Se 1.75
7 O 0.3273 0.1831 0.7544  1 Se 1.75
8 O 0.8558 0.1831 0.7544  1 Se 1.75
9 O 0.8540 0.7079 0.7102  1 Se 1.79
10 O 0.6727 0.8169 0.2456  1 Se 1.75
11 O 0.1460 0.2921 0.2898  1 Se 1.79

- energy relative to the elements, uncorrected (eV/atom) = -1.525
- crystal system = monoclinic
- final energy (eV per atom) = -5.477
- volume (Å³/f.u.) = 211.2

=====

No. 9
The following is a DFT calculation (PBE) of a geometry-optimized Na2AcSeO4 structure.

abc: 5.3916 5.3916 5.3916
angles: 104.08 112.23 112.23
Closest atoms and distances in Å follow each position.
Fractional coordinates of all 8 atoms:
1 O 0.0447 0.7455 0.2742  1 Se 2.01
2 O 0.5287 0.2992 0.2545  1 Se 2.01
3 O 0.4713 0.7258 0.7705  1 Se 2.01
4 O 0.9553 0.2295 0.7008  1 Se 2.01
5 Se 0.0000 0.5000 0.5000  4 O 2.01
6 Na 0.5000 0.7500 0.2500  4 O 2.50
7 Na 0.0000 0.0000 0.0000  4 O 2.26
8 Ac 0.5000 0.2500 0.7500  8 O 2.61-2.80

- energy relative to the elements, uncorrected (eV/atom) = -1.695
- crystal system = tetragonal
- final energy (eV per atom) = -5.453
- volume (Å³/f.u.) = 119.9